Below is a relaxed structure of SnMoN2O, with properties calculated at the PBE+U level.

Values from the calculation:
As for the density of states at the Fermi level: 1.2 states/eV/f.u. For the total energy, the calculation gives -5.74 eV/atom.

Cell: 4.1684 4.1684 3.9937 Å, 90.00 90.00 90.00°
With the nearest neighbours (Å) after each atom.
Space group P4/mmm (No. 123)
Symmetry-distinct sites (fractional):
1 Sn 0.0000 0.0000 0.0000 [1 per cell]  2 O 2.00, 4 N 2.08
2 Mo 0.5000 0.5000 0.5000 [1 per cell]  8 N 2.89, 4 O 2.95
3 N 0.0000 0.5000 0.0000 [2 per cell]  2 Sn 2.08
4 O 0.0000 0.0000 0.5000 [1 per cell]  2 Sn 2.00